# 1
First-principles (PBE-GGA) data for a relaxed structure of ZnSb2W, as listed in OQMD.

## Properties
Raw total energy = -4.87 eV/atom
ρ = 6.9 Mg/m³
Space group = I-42d (122)
Crystal system = tetragonal

Cell and atoms, written as extended XYZ:
```
8
Lattice="2.003 3.104 6.650 -5.015 5.374 1.962 -0.874 -7.232 -2.192" Properties=species:S:1:pos:R:3 pbc="T T T"
Sb -0.162 4.720 6.554
Sb -4.477 -1.355 2.020
Sb -0.807 -2.581 0.006
Sb -2.326 1.706 4.261
Zn 0.000 0.000 0.000
Zn -0.189 0.055 4.382
W -1.506 4.239 4.306
W -3.698 1.190 2.038
```

# 2
First-principles (PBE-GGA) data for a relaxed structure of ZnSb2W, as listed in OQMD.

## Properties
Raw total energy = -4.71 eV/atom
ρ = 10.0 Mg/m³
Space group = F-43m (216)
Crystal system = cubic

Cell and atoms, written as extended XYZ:
```
4
Lattice="0.000 3.451 3.451 3.451 0.000 3.451 3.451 3.451 0.000" Properties=species:S:1:pos:R:3 pbc="T T T"
Sb 0.000 0.000 0.000
Sb 5.176 5.176 5.176
W 3.451 3.451 3.451
Zn 1.725 1.725 1.725
```

# 3
First-principles (PBE-GGA) data for a relaxed structure of ZrSbW2, as listed in OQMD.

## Properties
Raw total energy = -9.28 eV/atom
ρ = 13.0 Mg/m³
Space group = F-43m (216)
Crystal system = cubic

Cell and atoms, written as extended XYZ:
```
4
Lattice="-1.694 -3.586 -2.547 -4.315 -1.683 0.878 -3.490 0.739 -3.081" Properties=species:S:1:pos:R:3 pbc="T T T"
Sb -4.749 -2.265 -2.375
W -7.124 -3.397 -3.563
W 0.000 0.000 0.000
Zr -2.375 -1.132 -1.188
```

# 4
First-principles (PBE-GGA) data for a relaxed structure of YZnSb2, as listed in OQMD.

## Properties
Raw total energy = -4.16 eV/atom
ρ = 6.5 Mg/m³
Space group = F-43m (216)
Crystal system = cubic

Cell and atoms, written as extended XYZ:
```
4
Lattice="0.000 3.706 3.706 3.706 0.000 3.706 3.706 3.706 0.000" Properties=species:S:1:pos:R:3 pbc="T T T"
Y 3.706 3.706 3.706
Sb 5.559 5.559 5.559
Sb 0.000 0.000 0.000
Zn 1.853 1.853 1.853
```

# 5
First-principles (PBE-GGA) data for a relaxed structure of Y2ZnSb, as listed in OQMD.

## Properties
Raw total energy = -4.60 eV/atom
ρ = 5.9 Mg/m³
Space group = F-43m (216)
Crystal system = cubic

Cell and atoms, written as extended XYZ:
```
4
Lattice="0.000 3.710 3.710 3.710 0.000 3.710 3.710 3.710 0.000" Properties=species:S:1:pos:R:3 pbc="T T T"
Y 5.565 5.565 5.565
Y 0.000 0.000 0.000
Sb 3.710 3.710 3.710
Zn 1.855 1.855 1.855
```

# 6
First-principles (PBE-GGA) data for a relaxed structure of YZr2Sb, as listed in OQMD.

## Properties
Raw total energy = -7.11 eV/atom
ρ = 6.9 Mg/m³
Space group = F-43m (216)
Crystal system = cubic

Cell and atoms, written as extended XYZ:
```
4
Lattice="0.000 3.625 3.625 3.625 0.000 3.625 3.625 3.625 0.000" Properties=species:S:1:pos:R:3 pbc="T T T"
Sb 3.625 3.625 3.625
Y 1.812 1.812 1.812
Zr 0.000 0.000 0.000
Zr 5.437 5.437 5.437
```

Question: Which formula does entry 5 have?
Answer: Y2ZnSb